A plane-wave DFT calculation with GGA-PBE was carried out for crystalline Y2ZnCoC at its relaxed geometry.

abc: 4.991 4.991 3.632
angles: 90.00 90.00 90.00
Fractional positions:
Y (0.000, 0.500, 0.000)
Y (0.500, 0.000, 0.000)
Zn (0.000, 0.000, 0.500)
Co (0.500, 0.500, 0.500)
C (0.500, 0.500, 0.000)

Computed properties:
SG: P4/mmm
Volume in Å³ per atom: 18.09
Total moment in μB/f.u.: 0.0
DFT total energy in eV per atom: -6.471

***

A plane-wave DFT calculation with GGA-PBE was carried out for crystalline Y4ZnCoC2 at its relaxed geometry.

abc: 3.619 3.619 14.209
angles: 90.00 90.00 120.00
Fractional positions:
Y (0.000, 0.000, 0.139)
Y (0.000, 0.000, 0.861)
Y (0.667, 0.333, 0.331)
Y (0.667, 0.333, 0.669)
Zn (0.000, 0.000, 0.500)
Co (0.667, 0.333, 0.000)
C (0.333, 0.667, 0.241)
C (0.333, 0.667, 0.759)

Computed properties:
SG: P-6m2
Volume in Å³ per atom: 20.15
Total moment in μB/f.u.: 0.1
DFT total energy in eV per atom: -6.683